[1]
! Rb3In4Br8 (GGA-PBE, relaxed); values from VASP
! E_form (uncorrected) ... -1.082 eV/atom
! Electronic total energy ... -2.90 eV per atom
! Spin magnetization ... 0.625 μB/f.u.
&SYSTEM
  ibrav = 0, nat = 15, ntyp = 3
/
ATOMIC_SPECIES
Rb 85.47 Rb.upf
In 114.82 In.upf
Br 79.90 Br.upf
CELL_PARAMETERS angstrom
6.787 -6.799 0.000
6.787 6.799 0.000
-6.682 0.000 6.798
ATOMIC_POSITIONS crystal
Rb 0.000 0.000 0.000
Rb 0.000 0.500 0.500
Rb 0.500 0.000 0.500
In 0.000 0.500 0.000
In 0.500 0.000 0.000
In 0.500 0.500 0.000
In 0.500 0.500 0.500
Br 0.253 0.747 0.000
Br 0.280 0.720 0.500
Br 0.281 0.281 0.057
Br 0.285 0.285 0.507
Br 0.715 0.715 0.493
Br 0.719 0.719 0.943
Br 0.720 0.280 0.500
Br 0.747 0.253 0.000

---

[2]
! RbIn2Br (GGA-PBE, relaxed); values from VASP
! E_form (uncorrected) ... -0.057 eV/atom
! Electronic total energy ... -2.09 eV per atom
! Spin magnetization ... 0.000 μB/f.u.
&SYSTEM
  ibrav = 0, nat = 16, ntyp = 3
/
ATOMIC_SPECIES
Rb 85.47 Rb.upf
In 114.82 In.upf
Br 79.90 Br.upf
CELL_PARAMETERS angstrom
8.418 0.000 0.000
0.000 8.418 0.000
0.000 0.000 8.418
ATOMIC_POSITIONS crystal
Rb 0.000 0.000 0.000
Rb 0.000 0.500 0.500
Rb 0.500 0.000 0.500
Rb 0.500 0.500 0.000
In 0.250 0.250 0.250
In 0.250 0.250 0.750
In 0.250 0.750 0.250
In 0.250 0.750 0.750
In 0.750 0.250 0.250
In 0.750 0.250 0.750
In 0.750 0.750 0.250
In 0.750 0.750 0.750
Br 0.000 0.000 0.500
Br 0.000 0.500 0.000
Br 0.500 0.000 0.000
Br 0.500 0.500 0.500

---

[3]
! RbIn6Br8 (GGA-PBE, relaxed); values from VASP
! E_form (uncorrected) ... -0.749 eV/atom
! Electronic total energy ... -2.80 eV per atom
! Spin magnetization ... 0.000 μB/f.u.
&SYSTEM
  ibrav = 0, nat = 15, ntyp = 3
/
ATOMIC_SPECIES
Rb 85.47 Rb.upf
In 114.82 In.upf
Br 79.90 Br.upf
CELL_PARAMETERS angstrom
5.969 3.446 4.792
-5.969 3.446 4.792
0.000 -6.892 4.792
ATOMIC_POSITIONS crystal
Rb 0.000 0.000 0.000
In 0.239 0.587 0.374
In 0.374 0.239 0.587
In 0.413 0.626 0.761
In 0.587 0.374 0.239
In 0.626 0.761 0.413
In 0.761 0.413 0.626
Br 0.078 0.361 0.732
Br 0.243 0.243 0.243
Br 0.268 0.922 0.639
Br 0.361 0.732 0.078
Br 0.639 0.268 0.922
Br 0.732 0.078 0.361
Br 0.757 0.757 0.757
Br 0.922 0.639 0.268